Record 1
Density functional theory data (PBE-GGA) for a geometry-optimized CaSc2PbO structure.

The energy above the most stable polymorph in this dataset is 0 meV per atom. The calculation puts the formation energy (no corrections) at -1.3450 eV per atom. The value obtained for the raw total energy is -6.011 eV/atom.

a b c (Å): 4.523 4.523 4.812
angles (deg): 90.00 90.00 90.00
Fractional coordinates of all 5 atoms:
1 Ca 0.000 0.000 0.000
2 Sc 0.000 0.500 0.500
3 Sc 0.500 0.000 0.500
4 Pb 0.500 0.500 0.000
5 O 0.000 0.000 0.500

***

Record 2
Density functional theory data (PBE-GGA) for a geometry-optimized V2FeNi structure.

The value obtained for the raw total energy is -7.801 eV/atom.

a b c (Å): 6.371 6.371 4.991
angles (deg): 90.00 90.00 90.00
Fractional coordinates of all 16 atoms:
1 V 0.237 0.250 0.125
2 V 0.250 0.737 0.375
3 V 0.250 0.763 0.875
4 V 0.263 0.250 0.625
5 V 0.737 0.750 0.625
6 V 0.750 0.237 0.875
7 V 0.750 0.263 0.375
8 V 0.763 0.750 0.125
9 Fe 0.000 0.000 0.000
10 Fe 0.000 0.500 0.250
11 Fe 0.500 0.000 0.750
12 Fe 0.500 0.500 0.500
13 Ni 0.000 0.000 0.500
14 Ni 0.000 0.500 0.750
15 Ni 0.500 0.000 0.250
16 Ni 0.500 0.500 0.000

***

Record 3
Density functional theory data (PBE-GGA) for a geometry-optimized Y2ScOs structure.

The energy above the most stable polymorph in this dataset is 295 meV per atom. The value obtained for the raw total energy is -7.592 eV/atom.

a b c (Å): 7.130 7.130 7.130
angles (deg): 90.00 90.00 90.00
Fractional coordinates of all 16 atoms:
1 Y 0.250 0.250 0.250
2 Y 0.250 0.250 0.750
3 Y 0.250 0.750 0.250
4 Y 0.250 0.750 0.750
5 Y 0.750 0.250 0.250
6 Y 0.750 0.250 0.750
7 Y 0.750 0.750 0.250
8 Y 0.750 0.750 0.750
9 Sc 0.000 0.000 0.000
10 Sc 0.000 0.500 0.500
11 Sc 0.500 0.000 0.500
12 Sc 0.500 0.500 0.000
13 Os 0.000 0.000 0.500
14 Os 0.000 0.500 0.000
15 Os 0.500 0.000 0.000
16 Os 0.500 0.500 0.500

***

Record 4
Density functional theory data (PBE-GGA) for a geometry-optimized P2Ir2Pd structure.

The energy above the most stable polymorph in this dataset is 0 meV per atom. The value obtained for the raw total energy is -7.027 eV/atom.

a b c (Å): 4.043 4.043 9.188
angles (deg): 90.00 90.00 90.00
Fractional coordinates of all 10 atoms:
1 P 0.000 0.000 0.118
2 P 0.000 0.000 0.882
3 P 0.500 0.500 0.382
4 P 0.500 0.500 0.618
5 Ir 0.000 0.500 0.250
6 Ir 0.000 0.500 0.750
7 Ir 0.500 0.000 0.250
8 Ir 0.500 0.000 0.750
9 Pd 0.000 0.000 0.500
10 Pd 0.500 0.500 0.000

***

Record 5
Density functional theory data (PBE-GGA) for a geometry-optimized Pa4PSe6 structure.

The calculation puts the formation energy (no corrections) at -1.1922 eV per atom. The value obtained for the raw total energy is -7.038 eV/atom.

a b c (Å): 9.442 9.442 6.851
angles (deg): 90.00 90.00 90.00
Fractional coordinates of all 22 atoms:
1 Pa 0.008 0.250 0.067
2 Pa 0.250 0.008 0.567
3 Pa 0.250 0.492 0.567
4 Pa 0.492 0.250 0.067
5 Pa 0.508 0.750 0.933
6 Pa 0.750 0.508 0.433
7 Pa 0.750 0.992 0.433
8 Pa 0.992 0.750 0.933
9 P 0.250 0.750 0.750
10 P 0.750 0.250 0.250
11 Se 0.040 0.540 0.250
12 Se 0.040 0.960 0.250
13 Se 0.250 0.250 0.323
14 Se 0.250 0.250 0.823
15 Se 0.460 0.540 0.250
16 Se 0.460 0.960 0.250
17 Se 0.540 0.040 0.750
18 Se 0.540 0.460 0.750
19 Se 0.750 0.750 0.177
20 Se 0.750 0.750 0.677
21 Se 0.960 0.040 0.750
22 Se 0.960 0.460 0.750

***

Record 6
Density functional theory data (PBE-GGA) for a geometry-optimized Na2PdCl structure.

The energy above the most stable polymorph in this dataset is 40 meV per atom. The calculation puts the formation energy (no corrections) at -0.4137 eV per atom. The value obtained for the raw total energy is -2.833 eV/atom.

a b c (Å): 7.029 7.029 7.029
angles (deg): 90.00 90.00 90.00
Fractional coordinates of all 16 atoms:
1 Na 0.250 0.250 0.250
2 Na 0.250 0.250 0.750
3 Na 0.250 0.750 0.250
4 Na 0.250 0.750 0.750
5 Na 0.750 0.250 0.250
6 Na 0.750 0.250 0.750
7 Na 0.750 0.750 0.250
8 Na 0.750 0.750 0.750
9 Pd 0.000 0.000 0.000
10 Pd 0.000 0.500 0.500
11 Pd 0.500 0.000 0.500
12 Pd 0.500 0.500 0.000
13 Cl 0.000 0.000 0.500
14 Cl 0.000 0.500 0.000
15 Cl 0.500 0.000 0.000
16 Cl 0.500 0.500 0.500